Computed, not measured: a relaxed Tb8InGa2 crystal at the PBE level of DFT.

abc: 16.7848 4.9345 7.9757
angles: 90.00 112.56 90.00
Closest atoms and distances in Å follow each position.
Space group C2/m (No. 12)
Asymmetric unit:
Tb 0.0510 0.0000 0.2336 (multiplicity 4)  1 Ga 3.05, 2 Tb 3.30
Tb 0.1029 0.5000 0.9610 (multiplicity 4)  2 Ga 3.13, 1 In 3.41, 4 Tb 3.41-3.48
Tb 0.1636 0.0000 0.7394 (multiplicity 4)  3 Ga 3.09-3.10, 4 Tb 3.41-3.45
Tb 0.1798 0.5000 0.4515 (multiplicity 4)  1 Ga 2.95, 1 In 3.19, 4 Tb 3.29-3.30
In 0.0000 0.5000 0.5000 (multiplicity 2)  8 Tb 3.19-3.57
Ga 0.2149 0.0000 0.1549 (multiplicity 4)  7 Tb 2.95-3.13

Output
**Theoretical density**: 8.3 g/cm3
**Energy relative to the elements**: -288 meV/atom



Computed, not measured: a relaxed Tb4InGa3 crystal at the PBE level of DFT.

abc: 4.1342 4.4379 11.1139
angles: 90.00 90.00 90.00
Closest atoms and distances in Å follow each position.
Space group Pmm2 (No. 25)
Asymmetric unit:
Tb 0.0000 0.0000 0.0000 (multiplicity 1)  5 Ga 3.10, 2 In 3.32
Tb 0.0000 0.5000 0.4861 (multiplicity 1)  6 Ga 3.10-3.20, 1 In 3.24
Tb 0.5000 0.0000 0.7090 (multiplicity 1)  3 Ga 3.11-3.42, 4 In 3.13
Tb 0.5000 0.5000 0.2178 (multiplicity 1)  7 Ga 3.06-3.23
In 0.0000 0.5000 0.7776 (multiplicity 1)  2 Ga 2.76
Ga 0.0000 0.0000 0.2788 (multiplicity 1)  2 Ga 2.66
Ga 0.5000 0.0000 0.4288 (multiplicity 1)  2 Ga 2.66
Ga 0.5000 0.5000 0.9428 (multiplicity 1)  2 In 2.76, 1 Tb 3.06

Output
**Theoretical density**: 7.8 g/cm3
**Energy relative to the elements**: -564 meV/atom



Computed, not measured: a relaxed TbInGa2 crystal at the PBE level of DFT.

abc: 4.4884 4.4884 4.2735
angles: 90.00 90.00 90.00
Closest atoms and distances in Å follow each position.
Space group P4/mmm (No. 123)
Asymmetric unit:
Tb 0.0000 0.0000 0.0000 (multiplicity 1)  8 Ga 3.10, 4 In 3.17
In 0.5000 0.5000 0.0000 (multiplicity 1)  8 Ga 3.10, 4 Tb 3.17
Ga 0.0000 0.5000 0.5000 (multiplicity 2)  4 Tb 3.10, 4 In 3.10, 4 Ga 3.17

Output
**Theoretical density**: 8.0 g/cm3
**Energy relative to the elements**: -479 meV/atom
**Excess energy over the best structure of this formula in the dataset**: 0 meV per atom



Computed, not measured: a relaxed TbIn2Ga crystal at the PBE level of DFT.

abc: 4.6617 4.6617 16.0731
angles: 90.00 90.00 120.00
Closest atoms and distances in Å follow each position.
Space group R-3m (No. 166, hexagonal axes)
Asymmetric unit:
Tb 0.0000 0.0000 0.0000 (multiplicity 3)  6 In 3.17
In 0.0000 0.0000 0.2294 (multiplicity 6)  3 Ga 2.87, 3 Tb 3.17
Ga 0.0000 0.0000 0.5000 (multiplicity 3)  6 In 2.87

Output
**Theoretical density**: 7.5 g/cm3
**Energy relative to the elements**: -188 meV/atom
**Excess energy over the best structure of this formula in the dataset**: 258 meV per atom



Computed, not measured: a relaxed Tb12In3Ga crystal at the PBE level of DFT.

abc: 4.8309 4.8309 19.3226
angles: 90.00 90.00 90.00
Closest atoms and distances in Å follow each position.
Space group P4/mmm (No. 123)
Asymmetric unit:
Tb 0.0000 0.0000 0.0000 (multiplicity 1)  8 Tb 3.34, 4 Ga 3.42
Tb 0.0000 0.0000 0.2467 (multiplicity 2)  4 In 3.42, 8 Tb 3.44
Tb 0.0000 0.0000 0.5000 (multiplicity 1)  4 In 3.42, 8 Tb 3.43
Tb 0.0000 0.5000 0.1197 (multiplicity 4)  8 Tb 3.34-3.44, 2 Ga 3.34, 2 In 3.45
Tb 0.0000 0.5000 0.3737 (multiplicity 4)  8 Tb 3.42-3.44, 4 In 3.43-3.44
In 0.5000 0.5000 0.2472 (multiplicity 2)  12 Tb 3.42-3.45
In 0.5000 0.5000 0.5000 (multiplicity 1)  12 Tb 3.42-3.43
Ga 0.5000 0.5000 0.0000 (multiplicity 1)  12 Tb 3.34-3.42

Output
**Theoretical density**: 8.5 g/cm3
**Energy relative to the elements**: -261 meV/atom



Computed, not measured: a relaxed TbIn2GaTe4 crystal at the PBE level of DFT.

abc: 7.8252 4.3630 7.9004
angles: 90.00 109.38 90.00
Closest atoms and distances in Å follow each position.
Space group P2/m (No. 10)
Asymmetric unit:
Tb 0.0000 0.0000 0.0000 (multiplicity 1)  6 Te 3.07-3.12
In 0.5000 0.0000 0.5000 (multiplicity 1)  6 Te 3.23-3.30
In 0.5000 0.5000 0.0000 (multiplicity 1)  6 Te 3.11-3.21
Ga 0.0000 0.5000 0.5000 (multiplicity 1)  6 Te 3.19-3.21
Te 0.2375 0.5000 0.2382 (multiplicity 2)  2 Tb 3.07, 1 Ga 3.21, 3 In 3.21-3.23
Te 0.2492 0.0000 0.7631 (multiplicity 2)  3 In 3.11-3.30, 1 Tb 3.12, 2 Ga 3.19

Output
**Theoretical density**: 6.3 g/cm3
**Raw formation energy**: -0.564 eV/atom



Computed, not measured: a relaxed Tb2Tm2InGa4 crystal at the PBE level of DFT.

abc: 7.0623 7.0623 9.1721
angles: 90.00 90.00 90.00
Closest atoms and distances in Å follow each position.
Space group I4/mmm (No. 139)
Asymmetric unit:
Tb 0.0000 0.0000 0.1862 (multiplicity 4)  1 In 2.88, 4 Ga 2.93
Tm 0.0000 0.5000 0.2500 (multiplicity 4)  8 Ga 3.39, 4 Tb 3.58
In 0.0000 0.0000 0.5000 (multiplicity 2)  4 Ga 2.62, 2 Tb 2.88
Ga 0.2381 0.2381 0.0000 (multiplicity 8)  1 In 2.62, 2 Tb 2.93

Output
**Theoretical density**: 7.6 g/cm3
**Energy relative to the elements**: -126 meV/atom



Computed, not measured: a relaxed In2GaTc crystal at the PBE level of DFT.

abc: 10.2554 10.2554 4.8594
angles: 90.00 90.00 90.00
Closest atoms and distances in Å follow each position.
Space group I-42d (No. 122)
Asymmetric unit:
In 0.0006 0.7500 0.1250 (multiplicity 8)  2 Tc 2.63
Ga 0.0000 0.0000 0.5000 (multiplicity 4)  2 Tc 2.43
Tc 0.0000 0.0000 0.0000 (multiplicity 4)  2 Ga 2.43, 4 In 2.63

Output
**Theoretical density**: 5.2 g/cm3
**Energy relative to the elements**: 344 meV/atom